Here is PrNdMnAl after structural relaxation from Alexandria via LeMat-Bulk. Energies are from PBE-GGA.

Unit cell a=7.460 b=7.460 c=7.460 alpha=90.00 beta=90.00 gamma=90.00
Space group F-43m (No. 216)
Asymmetric unit:
Pr1 0.000 0.000 0.000 [4 per cell]
Nd1 0.000 0.000 0.500 [4 per cell]
Mn1 0.250 0.250 0.750 [4 per cell]
Al1 0.250 0.250 0.250 [4 per cell]

* D(E_F): 19.40 states/eV per cell
* electronic total energy: -22.409 eV/f.u.